## YTaSiIr2 (GGA-PBE)

Data for a relaxed YTaSiIr2 crystal.

## Properties
Calculated total energy: -44.6 eV/f.u.
Mass density: 12.11 g/cm³
Volume: 93.54 Å³/f.u.

Lattice parameters (Å, degrees): 6.1482 6.1482 6.1482 140.42 140.42 57.21
Atoms (fractional coordinates):
Y  0.0000  0.0000  0.0000
Ta  0.3716  0.3716  0.0000
Si  0.6096  0.6096  0.0000
Ir  0.2372  0.7372  0.5000
Ir  0.7372  0.2372  0.5000



## TbSiIr (GGA-PBE)

Data for a relaxed TbSiIr crystal.

## Properties
Calculated total energy: -22.0 eV/f.u.
Mass density: 11.52 g/cm³
Volume: 54.67 Å³/f.u.

Lattice parameters (Å, degrees): 6.9189 4.2623 7.4155 90.00 90.00 90.00
Atoms (fractional coordinates):
Tb  0.0012  0.2500  0.1864
Tb  0.4988  0.7500  0.6864
Tb  0.5012  0.2500  0.3136
Tb  0.9988  0.7500  0.8136
Si  0.2003  0.2500  0.6078
Si  0.2997  0.7500  0.1078
Si  0.7003  0.2500  0.8922
Si  0.7997  0.7500  0.3922
Ir  0.1562  0.7500  0.4307
Ir  0.3438  0.2500  0.9307
Ir  0.6562  0.7500  0.0693
Ir  0.8438  0.2500  0.5693



## TbSiIr (GGA-PBE)

Data for a relaxed TbSiIr crystal.

## Properties
Calculated total energy: -21.8 eV/f.u.
Mass density: 10.51 g/cm³
Volume: 59.92 Å³/f.u.

Lattice parameters (Å, degrees): 4.0974 4.0974 8.2418 90.00 90.00 120.00
Atoms (fractional coordinates):
Tb  0.0000  0.0000  0.0000
Tb  0.0000  0.0000  0.5000
Si  0.3333  0.6667  0.2500
Si  0.6667  0.3333  0.7500
Ir  0.3333  0.6667  0.7500
Ir  0.6667  0.3333  0.2500



## TbSiIr (GGA-PBE)

Data for a relaxed TbSiIr crystal.

## Properties
Calculated total energy: -19.7 eV/f.u.
Mass density: 11.36 g/cm³
Volume: 55.41 Å³/f.u.

Lattice parameters (Å, degrees): 4.7238 4.7238 5.7349 90.00 90.00 120.00
Atoms (fractional coordinates):
Tb  0.3333  0.6667  0.2500
Tb  0.6667  0.3333  0.7500
Si  0.3333  0.6667  0.7500
Si  0.6667  0.3333  0.2500
Ir  0.0000  0.0000  0.0000
Ir  0.0000  0.0000  0.5000



## TbSi2Ir (GGA-PBE)

Data for a relaxed TbSi2Ir crystal.

## Properties
Calculated total energy: -27.2 eV/f.u.
Mass density: 9.75 g/cm³
Volume: 69.38 Å³/f.u.

Lattice parameters (Å, degrees): 4.0649 6.2409 5.4697 90.00 90.00 90.00
Atoms (fractional coordinates):
Tb  0.0000  0.0824  0.0000
Tb  0.5000  0.9176  0.5000
Si  0.0000  0.2670  0.4946
Si  0.0000  0.6386  0.2872
Si  0.5000  0.3614  0.7872
Si  0.5000  0.7330  0.9946
Ir  0.0000  0.5926  0.7625
Ir  0.5000  0.4074  0.2625



## Tb3Si2Ir2 (GGA-PBE)

Data for a relaxed Tb3Si2Ir2 crystal.

## Properties
Calculated total energy: -49.3 eV/f.u.
Mass density: 10.73 g/cm³
Volume: 141.99 Å³/f.u.

Lattice parameters (Å, degrees): 5.6009 5.6009 13.3073 90.00 90.00 137.13
Atoms (fractional coordinates):
Tb  0.0176  0.9824  0.7500
Tb  0.2740  0.7260  0.1039
Tb  0.2740  0.7260  0.3961
Tb  0.7260  0.2740  0.6039
Tb  0.7260  0.2740  0.8961
Tb  0.9824  0.0176  0.2500
Si  0.4380  0.5620  0.5896
Si  0.4380  0.5620  0.9104
Si  0.5620  0.4380  0.0896
Si  0.5620  0.4380  0.4104
Ir  0.0000  0.0000  0.0000
Ir  0.0000  0.0000  0.5000
Ir  0.3119  0.6881  0.7500
Ir  0.6881  0.3119  0.2500



## TbSi2Ir (GGA-PBE)

Data for a relaxed TbSi2Ir crystal.

## Properties
Calculated total energy: -27.9 eV/f.u.
Mass density: 9.42 g/cm³
Volume: 71.80 Å³/f.u.

Lattice parameters (Å, degrees): 5.5204 4.0604 6.4061 90.00 90.07 90.00
Atoms (fractional coordinates):
Tb  0.1272  0.2500  0.2499
Tb  0.8728  0.7500  0.7501
Si  0.3422  0.7500  0.5354
Si  0.3426  0.7500  0.9640
Si  0.6574  0.2500  0.0360
Si  0.6578  0.2500  0.4646
Ir  0.3697  0.2500  0.7497
Ir  0.6303  0.7500  0.2503



## TbSi2Ir (GGA-PBE)

Data for a relaxed TbSi2Ir crystal.

## Properties
Calculated total energy: -26.6 eV/f.u.
Mass density: 9.14 g/cm³
Volume: 73.96 Å³/f.u.

Lattice parameters (Å, degrees): 4.3779 4.5430 7.4377 90.00 90.00 90.00
Atoms (fractional coordinates):
Tb  0.0000  0.0567  0.0000
Tb  0.0000  0.9433  0.5000
Si  0.0000  0.4791  0.2673
Si  0.0000  0.5209  0.7673
Si  0.5000  0.2236  0.7030
Si  0.5000  0.7764  0.2030
Ir  0.5000  0.2842  0.3495
Ir  0.5000  0.7158  0.8495